Below is a relaxed structure of Pr2TcH, with properties calculated at the GGA-PBE level.

Results
Calculated total energy: -63.71 eV/cell
DOS(E_F): 11.803 states/eV/cell
Size of the total moment: 0.000 μB per formula unit

Cell: 3.3997 3.3997 24.8050 Å, 90.00 90.00 120.00°
With the nearest neighbours (Å) after each atom.
Space group R-3m (No. 166, hexagonal axes)
Unique sites:
Pr (0.0000, 0.0000, 0.1031) (multiplicity 6)  3 H 2.52, 1 Tc 2.56
Tc (0.0000, 0.0000, 0.0000) (multiplicity 3)  2 Pr 2.56
H (0.0000, 0.0000, 0.5000) (multiplicity 3)  6 Pr 2.52